The following is a DFT calculation (PBE with a Hubbard U) of a geometry-optimized Mn3SnP6O24 structure.

## Properties
D(E_F): 57.36 states/eV/cell
crystal system: trigonal
E_tot: -6.9922 eV per atom

Lattice parameters (Å, degrees): 8.3241 8.3241 22.1295 90.00 90.00 120.00
With the nearest neighbours (Å) after each atom.
Space group R3 (No. 146, hexagonal axes)
Asymmetric unit:
Mn 0.0000 0.0000 0.0000 [3 per cell]  6 O 1.93-1.94
Mn 0.0000 0.0000 0.2087 [3 per cell]  6 O 1.90-1.93
Mn 0.0000 0.0000 0.5061 [3 per cell]  6 O 1.94-1.96
Sn 0.0000 0.0000 0.7187 [3 per cell]  6 O 2.03-2.04
P 0.0020 0.7111 0.6062 [9 per cell]  4 O 1.53-1.56
P 0.0104 0.2885 0.1091 [9 per cell]  4 O 1.53-1.56
O 0.0136 0.2000 0.0480 [9 per cell]  1 P 1.55
O 0.0303 0.8353 0.9449 [9 per cell]  1 P 1.55
O 0.0787 0.8613 0.2585 [9 per cell]  1 P 1.54
O 0.0818 0.8627 0.5560 [9 per cell]  1 P 1.56
O 0.1369 0.6786 0.3334 [9 per cell]  1 P 1.53
O 0.1552 0.4533 0.4391 [9 per cell]  1 P 1.53
O 0.1931 0.4533 0.8268 [9 per cell]  1 P 1.56
O 0.2110 0.4440 0.1224 [9 per cell]  1 P 1.55